1.
Here is a geometry-optimized VBiAsSe2 structure from Alexandria. Energies are from PBE.

extended XYZ file:
```
5
Lattice="-1.276 -4.238 1.893 4.619 -0.966 0.952 -0.481 2.173 4.540" Properties=species:S:1:pos:R:3 pbc="T T T"
Bi 1.431 -1.516 3.693
Se -0.638 -2.119 0.947
Se 2.310 -0.483 0.476
V 0.000 0.000 0.000
As -0.241 1.087 2.270
```

## Properties
raw formation energy = 0.063 eV per atom
E above lowest polymorph = 0.000 eV per atom
space-group type = P4/mmm, No. 123

2.
Here is a geometry-optimized Y4Bi2AsSe structure from Alexandria. Energies are from PBE.

extended XYZ file:
```
8
Lattice="-0.274 2.602 3.383 0.978 -5.842 4.572 7.234 -0.904 1.281" Properties=species:S:1:pos:R:3 pbc="T T T"
Y 1.789 0.805 4.932
Y 5.467 -0.956 3.881
Bi 7.234 -0.904 1.281
Bi 3.480 0.849 2.332
Y 6.149 -4.950 4.304
Y 2.471 -3.189 5.355
Se 0.352 -1.620 3.978
As 4.106 -3.373 2.926
```

## Properties
raw formation energy = -1.276 eV per atom
space-group type = P2/m, No. 10

3.
Here is a geometry-optimized YBiAsSe2 structure from Alexandria. Energies are from PBE.

extended XYZ file:
```
5
Lattice="5.371 0.000 0.000 0.000 5.371 0.000 0.000 0.000 5.510" Properties=species:S:1:pos:R:3 pbc="T T T"
Se 2.685 0.000 0.000
Se 0.000 2.685 0.000
As 0.000 0.000 2.755
Y 0.000 0.000 0.000
Bi 2.685 2.685 2.755
```

## Properties
raw formation energy = -0.110 eV per atom
E above lowest polymorph = 0.000 eV per atom
space-group type = P4/mmm, No. 123

4.
Here is a geometry-optimized YBiAsSe2 structure from Alexandria. Energies are from PBE.

extended XYZ file:
```
5
Lattice="5.395 0.000 0.000 0.000 5.395 0.000 0.000 0.000 5.349" Properties=species:S:1:pos:R:3 pbc="T T T"
As 0.000 0.000 2.674
Y 2.698 2.698 2.674
Se 2.698 0.000 0.000
Se 0.000 2.698 0.000
Bi 0.000 0.000 0.000
```

## Properties
raw formation energy = 0.067 eV per atom
E above lowest polymorph = 0.177 eV per atom
space-group type = P4/mmm, No. 123

5.
Here is a geometry-optimized ZnBi2AsSe structure from Alexandria. Energies are from PBE.

extended XYZ file:
```
5
Lattice="-3.065 -4.822 -0.266 3.256 -2.200 2.354 -2.606 1.386 4.900" Properties=species:S:1:pos:R:3 pbc="T T T"
As 0.000 0.000 0.000
Zn 1.628 -1.100 1.177
Se -1.207 -2.818 3.494
Bi -1.533 -2.411 -0.133
Bi -1.303 0.693 2.450
```

## Properties
raw formation energy = 0.455 eV per atom
space-group type = P4/mmm, No. 123

6.
Here is a geometry-optimized ZnBiAs2Se structure from Alexandria. Energies are from PBE.

extended XYZ file:
```
5
Lattice="5.538 0.000 0.000 0.000 5.538 0.000 0.000 0.000 5.538" Properties=species:S:1:pos:R:3 pbc="T T T"
As 2.769 0.000 0.000
As 0.000 2.769 0.000
Zn 2.769 2.769 2.769
Se 0.000 0.000 2.769
Bi 0.000 0.000 0.000
```

## Properties
raw formation energy = 0.969 eV per atom
E above lowest polymorph = 0.528 eV per atom
space-group type = P4/mmm, No. 123